Entry 1:
Compound: BaCuP
Source: the Alexandria database
Functional: PBE
Structure: relaxed

The structure belongs to space group P-1 (No. 2); the cell edges are 4.074, 6.106 and 6.371 Å and the angles 101.48°, 107.61° and 92.17°. The inequivalent atoms are Ba at (0.061, 0.317, 0.191), Cu at (0.212, 0.889, 0.419) and P at (0.365, 0.237, 0.731).

The energy of formation from the pure elements is -670 meV/atom. Its calculated volume is 24.5 Å³/atom. The density of states at the Fermi level is 0.072 states/eV per atom. The value obtained for the mass density is 5.23 g/cm3.


Entry 2:
Compound: Rb2Zr2USe6
Source: the Alexandria database
Functional: PBE
Structure: relaxed

The structure belongs to space group C2/m (No. 12); the cell edges are 6.849, 11.935 and 8.613 Å and the angles 90.00°, 105.23° and 90.00°. The inequivalent atoms are Rb at (0.000, 0.164, 0.000), Zr at (0.000, 0.333, 0.500), U at (0.000, 0.000, 0.500), Se at (0.216, 0.500, 0.693) and Se at (0.236, 0.172, 0.693).

The energy relative to the elements, uncorrected comes out at -1.329 eV per atom. Its calculated volume is 30.9 Å³/atom. The density of states at the Fermi level is 0.642 states/eV per atom. The value obtained for the mass density is 5.21 g/cm3.


Entry 3:
Compound: MgCoRh2C
Source: the Alexandria database
Functional: PBE
Structure: relaxed

The structure belongs to space group P4/mmm (No. 123); the cell edges are 4.082, 4.082 and 3.791 Å and the angles 90.00°, 90.00° and 90.00°. The inequivalent atoms are Mg at (0.000, 0.000, 0.000), Co at (0.500, 0.500, 0.000), Rh at (0.000, 0.500, 0.500) and C at (0.500, 0.500, 0.500).

The energy of formation from the pure elements is -192 meV/atom. Its calculated volume is 12.6 Å³/atom. The density of states at the Fermi level is 0.728 states/eV per atom. The value obtained for the mass density is 7.91 g/cm3.